The following is a DFT calculation (PBE with a Hubbard U) of a geometry-optimized Li2Si3Ni3O10 structure.

As for the total energy: -0.4719 Ry per atom. The spin magnetization comes out at 6.00 μB/f.u.

The structure in CIF format:
```
data_Li2Si3Ni3O10
_symmetry_space_group_name_H-M 'C 1 2/c 1'
_symmetry_Int_Tables_number 15
_cell_length_a 15.5871
_cell_length_b 4.7601
_cell_length_c 10.2580
_cell_angle_alpha 90.00
_cell_angle_beta 93.23
_cell_angle_gamma 90.00
loop_
_symmetry_equiv_pos_as_xyz
'x,y,z'
'-x,-y,-z'
'-x,y,-z+1/2'
'x,-y,z+1/2'
'x+1/2,y+1/2,z'
'-x+1/2,-y+1/2,-z'
'-x+1/2,y+1/2,-z+1/2'
'x+1/2,-y+1/2,z+1/2'
loop_
_atom_site_label
_atom_site_type_symbol
_atom_site_fract_x
_atom_site_fract_y
_atom_site_fract_z
Li1 Li 0.0553 0.2071 0.4701
Si1 Si 0.0000 0.1983 0.7500
Si2 Si 0.1576 0.3164 0.9041
Ni1 Ni 0.1552 0.2241 0.2134
Ni2 Ni 0.2500 0.2500 0.5000
O1 O 0.0459 0.0124 0.6405
O2 O 0.0681 0.4325 0.8227
O3 O 0.1540 0.4568 0.0490
O4 O 0.1555 0.0243 0.3948
O5 O 0.2358 0.4847 0.8349
```